## TmMgInHg (PBE)

Data for crystalline TmMgInHg at its relaxed geometry.

Computed properties:
Crystal system: cubic
Spin magnetization: 0.00 μB per cell
Total energy: -10.552 eV/f.u.
V: 378 Å³/cell

Cell and atoms, written as CIF:
```
data_TmMgInHg
_cell_length_a 7.228
_cell_length_b 7.228
_cell_length_c 7.228
_cell_angle_alpha 90.00
_cell_angle_beta 90.00
_cell_angle_gamma 90.00
_symmetry_space_group_name_H-M 'F -4 3 m'
_symmetry_Int_Tables_number 216
_symmetry_space_group_name_Hall 'F -4 2 3'
loop_
_atom_site_label
_atom_site_type_symbol
_atom_site_fract_x
_atom_site_fract_y
_atom_site_fract_z
Tm1 Tm 0.000 0.000 0.000
Mg1 Mg 0.000 0.000 0.500
In1 In 0.250 0.250 0.250
Hg1 Hg 0.250 0.250 0.750
```

## Mg5ZnIn2Hg2 (PBE)

Data for crystalline Mg5ZnIn2Hg2 at its relaxed geometry.

Computed properties:
Crystal system: tetragonal
Spin magnetization: 0.00 μB per cell
Total energy: -16.074 eV/f.u.
V: 459 Å³/cell

Cell and atoms, written as CIF:
```
data_Mg5ZnIn2Hg2
_cell_length_a 11.948
_cell_length_b 11.948
_cell_length_c 3.216
_cell_angle_alpha 90.00
_cell_angle_beta 90.00
_cell_angle_gamma 90.00
_symmetry_space_group_name_H-M 'P 4/m b m'
_symmetry_Int_Tables_number 127
_symmetry_space_group_name_Hall '-P 4 2ab'
loop_
_atom_site_label
_atom_site_type_symbol
_atom_site_fract_x
_atom_site_fract_y
_atom_site_fract_z
Mg1 Mg 0.000 0.500 0.000
Mg2 Mg 0.019 0.195 0.000
Zn1 Zn 0.000 0.000 0.500
In1 In 0.175 0.675 0.500
Hg1 Hg 0.145 0.355 0.500
```